Nd2NiPb | PBE | relaxed

Crystal system: tetragonal
E_form (meV per atom): -354
Total magnetic moment (μB/cell): 0.00
DFT total energy (eV for the cell shown): -20.4

a b c (Å): 3.5574 3.5574 8.2207
angles (deg): 90.00 90.00 90.00
Last column: nearest neighbours and their distance in Å.
Space group P4/mmm (No. 123)
Unique sites:
Nd: 0.0000 0.0000 0.2064 x2  4 Ni 3.03, 1 Nd 3.39
Ni: 0.5000 0.5000 0.0000 x1  8 Nd 3.03
Pb: 0.5000 0.5000 0.5000 x1  8 Nd 3.49, 4 Pb 3.56